# Te2PbSeN (GGA-PBE, optimized geometry)
data_Te2PbSeN
_chemical_formula_sum 'Te2 Pb1 Se1 N1'
_cell_length_a 5.9556
_cell_length_b 5.9556
_cell_length_c 3.7045
_cell_angle_alpha 90.00
_cell_angle_beta 90.00
_cell_angle_gamma 90.00
_space_group_name_H-M_alt 'P 4/m m m'
_space_group_IT_number 123
_space_group_name_Hall '-P 4 2'
loop_
_atom_site_label
_atom_site_fract_x
_atom_site_fract_y
_atom_site_fract_z
_atom_site_occupancy
Te1 0.0000 0.5000 0.0000 1
Pb1 0.0000 0.0000 0.5000 1
Se1 0.5000 0.5000 0.0000 1
N1 0.5000 0.5000 0.5000 1
# formation energy from raw total energies = 0.665 eV/atom
# density = 7.02 g cm⁻³
# total magnetization = 0.0 μB per cell
# excess energy over the best structure of this formula in the dataset = 0 meV/atom